Record 1
Material: Pm3Ge6Rh5
Method: DFT, GGA-PBE
State: optimized geometry

a = 4.248 Å, b = 13.026 Å, c = 9.240 Å
α = 90.00°, β = 90.00°, γ = 90.00°
Fractional coordinates of all 28 atoms:
Pm  0.250  0.050  0.246
Pm  0.250  0.450  0.246
Pm  0.250  0.750  0.257
Pm  0.750  0.250  0.743
Pm  0.750  0.550  0.754
Pm  0.750  0.950  0.754
Ge  0.250  0.075  0.898
Ge  0.250  0.250  0.083
Ge  0.250  0.250  0.459
Ge  0.250  0.425  0.898
Ge  0.250  0.595  0.525
Ge  0.250  0.905  0.525
Ge  0.750  0.095  0.475
Ge  0.750  0.405  0.475
Ge  0.750  0.575  0.102
Ge  0.750  0.750  0.541
Ge  0.750  0.750  0.917
Ge  0.750  0.925  0.102
Rh  0.250  0.093  0.619
Rh  0.250  0.407  0.619
Rh  0.250  0.637  0.972
Rh  0.250  0.750  0.702
Rh  0.250  0.863  0.972
Rh  0.750  0.137  0.028
Rh  0.750  0.250  0.298
Rh  0.750  0.363  0.028
Rh  0.750  0.593  0.381
Rh  0.750  0.907  0.381

E_form   -74 kJ per mole of atoms
Symmetry   No. 59
Uncorrected energy   -6.39 eV/atom

Record 2
Material: RbLiBiS3
Method: DFT, GGA-PBE
State: optimized geometry

a = 9.252 Å, b = 4.150 Å, c = 9.321 Å
α = 90.00°, β = 111.84°, γ = 90.00°
Fractional coordinates of all 12 atoms:
Rb  0.217  0.250  0.253
Rb  0.783  0.750  0.747
Li  0.089  0.250  0.584
Li  0.911  0.750  0.416
Bi  0.324  0.750  0.843
Bi  0.676  0.250  0.157
S  0.129  0.250  0.857
S  0.196  0.750  0.535
S  0.472  0.750  0.166
S  0.528  0.250  0.834
S  0.804  0.250  0.465
S  0.871  0.750  0.143

Symmetry   No. 11
Uncorrected formation energy   -0.717 eV per atom
Uncorrected energy   -3.91 eV/atom

Record 3
Material: Cs2BaVCl6
Method: DFT, GGA-PBE
State: optimized geometry

a = 7.792 Å, b = 7.792 Å, c = 7.792 Å
α = 60.00°, β = 60.00°, γ = 60.00°
Fractional coordinates of all 10 atoms:
Cs  0.250  0.250  0.250
Cs  0.750  0.750  0.750
Ba  0.000  0.000  0.000
V  0.500  0.500  0.500
Cl  0.273  0.273  0.727
Cl  0.273  0.727  0.273
Cl  0.273  0.727  0.727
Cl  0.727  0.273  0.273
Cl  0.727  0.273  0.727
Cl  0.727  0.727  0.273

Symmetry   No. 225
Uncorrected formation energy   -1.884 eV per atom
Uncorrected energy   -4.27 eV/atom

Record 4
Material: YNiRh2
Method: DFT, GGA-PBE
State: optimized geometry

a = 4.804 Å, b = 4.804 Å, c = 4.804 Å
α = 129.10°, β = 129.10°, γ = 74.85°
Fractional coordinates of all 4 atoms:
Y  0.000  0.000  0.000
Ni  0.500  0.500  0.000
Rh  0.250  0.750  0.500
Rh  0.750  0.250  0.500

E_form   -28 kJ per mole of atoms
Symmetry   No. 139
Uncorrected energy   -7.02 eV/atom

Record 5
Material: Sr2SiW
Method: DFT, GGA-PBE
State: optimized geometry

a = 5.081 Å, b = 5.081 Å, c = 5.081 Å
α = 60.00°, β = 60.00°, γ = 60.00°
Fractional coordinates of all 4 atoms:
Sr  0.000  0.000  0.000
Sr  0.250  0.250  0.250
Si  0.500  0.500  0.500
W  0.750  0.750  0.750

Symmetry   No. 216
Uncorrected formation energy   0.949 eV per atom
Uncorrected energy   -4.49 eV/atom

Record 6
Material: ZrAlF6
Method: DFT, GGA-PBE
State: optimized geometry

a = 5.013 Å, b = 5.013 Å, c = 5.042 Å
α = 96.01°, β = 96.01°, γ = 118.65°
Fractional coordinates of all 8 atoms:
Zr  0.000  0.000  0.000
Al  0.500  0.500  0.500
F  0.155  0.434  0.279
F  0.255  0.255  0.727
F  0.434  0.155  0.279
F  0.566  0.845  0.721
F  0.745  0.745  0.273
F  0.845  0.566  0.721

Symmetry   No. 12
Uncorrected formation energy   -3.354 eV per atom
Uncorrected energy   -6.29 eV/atom